Model 1:
Compound: Tc5Br
Source: Alexandria
Functional: GGA-PBE
Structure: relaxed

Unit cell a=5.320 b=5.320 c=6.556 alpha=72.59 beta=72.59 gamma=31.44
Fractional positions:
Tc1 0.349 0.349 0.341
Tc2 0.677 0.677 0.641
Tc3 0.628 0.628 0.292
Tc4 0.948 0.948 0.627
Tc5 0.245 0.245 0.933
Br1 0.986 0.986 0.999

Model 2:
Compound: Tc5Br
Source: Alexandria
Functional: GGA-PBE
Structure: relaxed

Unit cell a=7.428 b=7.428 c=4.391 alpha=90.00 beta=90.00 gamma=157.71
Fractional positions:
Tc1 0.326 0.674 0.000
Tc2 0.676 0.324 0.000
Tc3 0.434 0.566 0.500
Tc4 0.777 0.223 0.500
Tc5 0.116 0.884 0.500
Br1 0.005 0.995 0.000

Model 3:
Compound: Tc5Br
Source: Alexandria
Functional: GGA-PBE
Structure: relaxed

Unit cell a=2.901 b=2.901 c=10.973 alpha=90.00 beta=90.00 gamma=90.00
Fractional positions:
Tc1 0.000 0.000 0.821
Tc2 0.000 0.000 0.179
Tc3 0.500 0.500 0.672
Tc4 0.500 0.500 0.328
Tc5 0.000 0.000 0.500
Br1 0.500 0.500 0.000

model 3 is preferred energetically. Next in line: 4.7 kJ/mol of atoms higher.

Model 1:
Compound: TcTe2Br
Source: Alexandria
Functional: GGA-PBE
Structure: relaxed

Unit cell a=6.757 b=6.757 c=6.354 alpha=63.09 beta=63.09 gamma=28.40
Fractional positions:
Te1 0.907 0.907 0.108
Te2 0.759 0.759 0.802
Tc1 0.245 0.245 0.136
Br1 0.589 0.589 0.454

Model 2:
Compound: TcTe2Br
Source: Alexandria
Functional: GGA-PBE
Structure: relaxed

Unit cell a=6.468 b=4.233 c=4.233 alpha=90.00 beta=90.00 gamma=90.00
Fractional positions:
Te1 0.000 0.000 0.000
Te2 0.000 0.500 0.500
Tc1 0.500 0.000 0.500
Br1 0.500 0.500 0.000

Model 3:
Compound: TcTe2Br
Source: Alexandria
Functional: GGA-PBE
Structure: relaxed

Unit cell a=8.689 b=8.689 c=8.689 alpha=26.78 beta=26.78 gamma=26.78
Fractional positions:
Te1 0.887 0.887 0.887
Te2 0.113 0.113 0.113
Tc1 0.500 0.500 0.500
Br1 0.000 0.000 0.000

model 3 is preferred energetically. Next in line: 3.6 kJ/mol of atoms higher.